1.
The following is a DFT calculation (GGA-PBE) of an optimized crystal structure of AcThSc2.

a b c (Å): 11.1990 11.1990 11.1990
angles (deg): 18.43 18.43 18.43
Closest atoms and distances in Å follow each position.
Fractional positions:
Ac1 0.0000 0.0000 0.0000  6 Sc 3.55, 6 Ac 3.59
Th1 0.5000 0.5000 0.5000  6 Sc 3.34, 6 Th 3.59
Sc1 0.2459 0.2459 0.2459  3 Th 3.34, 3 Ac 3.55, 6 Sc 3.59
Sc2 0.7541 0.7541 0.7541  3 Th 3.34, 3 Ac 3.55, 6 Sc 3.59

## Properties
**M_tot**: 0.000 μB/atom
**Energy of formation**: 0.12 eV/atom
**ΔE to the lowest computed polymorph**: 53.7 meV per atom
**Space group**: R-3m, No. 166
**Volume**: 30.7 A^3/atom
**E_tot**: -0.4355 Ry/atom

=====

2.
The following is a DFT calculation (GGA-PBE) of an optimized crystal structure of AcHo3Bi4.

a b c (Å): 7.9180 7.9180 4.5780
angles (deg): 90.00 90.00 109.44
Closest atoms and distances in Å follow each position.
Fractional positions:
Ac1 0.0000 0.0000 0.0000  6 Bi 3.34
Ho1 0.0000 0.5000 0.5000  6 Bi 3.24
Ho2 0.5000 0.0000 0.5000  6 Bi 3.24
Ho3 0.5000 0.5000 0.0000  6 Bi 3.13
Bi1 0.2581 0.7419 0.0000  5 Ho 3.13-3.24, 1 Ac 3.34
Bi2 0.2664 0.2664 0.5000  4 Ho 3.13-3.24, 2 Ac 3.34
Bi3 0.7336 0.7336 0.5000  4 Ho 3.13-3.24, 2 Ac 3.34
Bi4 0.7419 0.2581 0.0000  5 Ho 3.13-3.24, 1 Ac 3.34

## Properties
**M_tot**: 0.000 μB/atom
**Energy of formation**: -0.85 eV/atom
**Space group**: Cmmm, No. 65
**Volume**: 33.8 A^3/atom
**E_tot**: -0.3688 Ry/atom

=====

3.
The following is a DFT calculation (GGA-PBE) of an optimized crystal structure of Rb3HgS2.

a b c (Å): 9.3148 9.3148 9.3148
angles (deg): 131.54 75.38 126.11
Closest atoms and distances in Å follow each position.
Fractional positions:
Rb1 0.0211 0.7500 0.2711  4 S 3.29-3.46
Rb2 0.2500 0.2500 0.0000  4 S 3.35
Rb3 0.4789 0.7500 0.7289  4 S 3.29-3.46
Rb4 0.5211 0.2500 0.2711  4 S 3.29-3.46
Rb5 0.7500 0.7500 0.0000  4 S 3.35
Rb6 0.9789 0.2500 0.7289  4 S 3.29-3.46
Hg1 0.0000 0.5000 0.5000  2 S 2.80
Hg2 0.5000 0.0000 0.5000  2 S 2.80
S1 0.1297 0.2319 0.3616  1 Hg 2.80
S2 0.3703 0.7319 0.1021  1 Hg 2.80
S3 0.6297 0.2681 0.8979  1 Hg 2.80
S4 0.8703 0.7681 0.6384  1 Hg 2.80

## Properties
**M_tot**: 0.146 μB/atom
**Raw formation energy**: -4.3 eV per formula unit
**Space group**: Ibam, No. 72
**Volume**: 39.7 A^3/atom
**E_tot**: -0.1934 Ry/atom